Entry 1:
Material: CaZrReAu2
Method: DFT, PBE
State: optimized geometry

Values from the calculation:
mass density: 10019 kg/m3
VASP energy: -19.916 eV per cell
DFT formation energy: 9.64 eV per formula unit
symmetry: P4/mmm, No. 123
density of states at the Fermi level: 0.699 states/eV per atom
spin magnetization: 0.0 μB per formula unit

abc: 4.810 4.810 5.096
angles: 90.00 90.00 90.00
Element x y z (fractional)
Ca (0.000, 0.000, 0.000)
Zr (0.000, 0.000, 0.500)
Re (0.500, 0.500, 0.500)
Au (0.000, 0.500, 0.000)
Au (0.500, 0.000, 0.000)

=====

Entry 2:
Material: Ca2Rh2Au
Method: DFT, PBE
State: optimized geometry

Values from the calculation:
mass density: 7887 kg/m3
VASP energy: -44.013 eV per cell
DFT formation energy: -0.02 eV per formula unit
symmetry: P4/mbm, No. 127
density of states at the Fermi level: 0.366 states/eV per atom
energy above the lowest structure with this stoichiometry: 0.437 eV per atom
spin magnetization: 0.0 μB per formula unit

abc: 7.854 7.854 3.296
angles: 90.00 90.00 90.00
Element x y z (fractional)
Ca (0.150, 0.350, 0.000)
Ca (0.350, 0.850, 0.000)
Ca (0.650, 0.150, 0.000)
Ca (0.850, 0.650, 0.000)
Rh (0.151, 0.651, 0.500)
Rh (0.349, 0.151, 0.500)
Rh (0.651, 0.849, 0.500)
Rh (0.849, 0.349, 0.500)
Au (0.000, 0.000, 0.000)
Au (0.500, 0.500, 0.000)